{"formula": "CuPd4Au3", "functional": "GGA-PBE", "state": "relaxed", "lattice_angstrom": [[3.865, 0.005, -1.045], [-0.271, 3.860, -1.027], [0.217, 0.194, 8.501]], "species": ["Au", "Au", "Au", "Cu", "Pd", "Pd", "Pd", "Pd"], "frac_coords": [[0.250, 0.750, 0.500], [0.750, 0.250, 0.500], [0.000, 0.500, 0.000], [0.500, 0.000, 0.000], [0.620, 0.620, 0.241], [0.120, 0.120, 0.241], [0.380, 0.380, 0.759], [0.880, 0.880, 0.759]], "e_form_ev_per_atom": -0.0675, "rho_g_cm3": 13.96, "dos_ef_per_ev_atom": 0.95, "final_energy_ev_per_cell": -35.24, "crystal_system": "orthorhombic"}